# 1
Crystalline BaTl2Cu at its relaxed geometry. Source: Alexandria, functional PBE.

Theoretical density   8.127 g/cm³

Cell: 6.146 8.899 4.555 Å, 90.00 90.00 90.00°
Space group Cmmm (No. 65)
Symmetry-distinct sites (fractional):
Ba 0.000 0.000 0.000 [2 per cell]
Tl 0.000 0.322 0.500 [4 per cell]
Cu 0.000 0.500 0.000 [2 per cell]

# 2
Crystalline Pm3DyTl2 at its relaxed geometry. Source: Alexandria, functional PBE.

Theoretical density   8.926 g/cm³

Cell: 16.441 5.048 10.284 Å, 90.00 118.69 90.00°
Space group C2/m (No. 12)
Symmetry-distinct sites (fractional):
Pm 0.042 0.000 0.362 [4 per cell]
Pm 0.133 0.500 0.671 [4 per cell]
Pm 0.211 0.500 0.380 [4 per cell]
Dy 0.118 0.000 0.067 [4 per cell]
Tl 0.011 0.500 0.860 [4 per cell]
Tl 0.241 0.000 0.897 [4 per cell]

# 3
Crystalline Be2NbCu2 at its relaxed geometry. Source: Alexandria, functional PBE.

Theoretical density   6.617 g/cm³

Cell: 3.797 3.797 8.287 Å, 90.00 90.00 90.00°
Space group I4/mmm (No. 139)
Symmetry-distinct sites (fractional):
Be 0.000 0.500 0.250 [4 per cell]
Nb 0.000 0.000 0.000 [2 per cell]
Cu 0.000 0.000 0.366 [4 per cell]

# 4
Crystalline NaSc2Nb2 at its relaxed geometry. Source: Alexandria, functional PBE.

Theoretical density   4.177 g/cm³

Cell: 4.207 4.207 13.420 Å, 90.00 90.00 90.00°
Space group I4/mmm (No. 139)
Symmetry-distinct sites (fractional):
Na 0.000 0.000 0.000 [2 per cell]
Sc 0.000 0.500 0.250 [4 per cell]
Nb 0.000 0.000 0.413 [4 per cell]

# 5
Crystalline Ge2As2Pb at its relaxed geometry. Source: Alexandria, functional PBE.

Theoretical density   6.792 g/cm³

Cell: 4.362 4.362 12.910 Å, 90.00 90.00 90.00°
Space group I4/mmm (No. 139)
Symmetry-distinct sites (fractional):
Ge 0.000 0.500 0.250 [4 per cell]
As 0.000 0.000 0.126 [4 per cell]
Pb 0.000 0.000 0.500 [2 per cell]

# 6
Crystalline CuBPb2 at its relaxed geometry. Source: Alexandria, functional PBE.

Theoretical density   9.947 g/cm³

Cell: 6.885 6.885 6.885 Å, 90.00 90.00 90.00°
Space group Fm-3m (No. 225)
Symmetry-distinct sites (fractional):
Cu 0.000 0.000 0.000 [4 per cell]
B 0.000 0.000 0.500 [4 per cell]
Pb 0.250 0.250 0.250 [8 per cell]

# 7
Crystalline NiPtW at its relaxed geometry. Source: Alexandria, functional PBE.

Theoretical density   15.297 g/cm³

Cell: 5.749 5.749 5.749 Å, 90.00 90.00 90.00°
Space group F-43m (No. 216)
Symmetry-distinct sites (fractional):
Ni 0.000 0.000 0.000 [4 per cell]
Pt 0.250 0.250 0.750 [4 per cell]
W 0.250 0.250 0.250 [4 per cell]

# 8
Crystalline Rb2Cd3In17 at its relaxed geometry. Source: Alexandria, functional PBE.

Theoretical density   5.976 g/cm³

Cell: 11.7417 11.7417 17.1769 Å, 90.00 90.00 120.00°
Space group R-3m (No. 166, hexagonal axes)
Symmetry-distinct sites (fractional):
Rb 0.0000 0.0000 0.1428 [6 per cell]
Cd 0.0000 0.5000 0.5000 [9 per cell]
In 0.0000 0.0000 0.3831 [6 per cell]
In 0.0000 0.2547 0.5000 [18 per cell]
In 0.0000 0.5000 0.0000 [9 per cell]
In 0.0075 0.5037 0.6723 [18 per cell]

# 9
Crystalline IrRu at its relaxed geometry. Source: Alexandria, functional PBE.

Theoretical density   17.140 g/cm³

Cell: 2.7370 2.7370 8.7597 Å, 90.00 90.00 120.00°
Space group P-3m1 (No. 164)
Symmetry-distinct sites (fractional):
Ir 0.3333 0.6667 0.3696 [2 per cell]
Ru 0.3333 0.6667 0.8802 [2 per cell]

# 10
Crystalline CaLaY2 at its relaxed geometry. Source: Alexandria, functional PBE.

Theoretical density   4.183 g/cm³

Cell: 4.039 5.948 11.793 Å, 90.00 90.00 90.00°
Space group Immm (No. 71)
Symmetry-distinct sites (fractional):
Ca 0.000 0.000 0.000 [2 per cell]
La 0.000 0.000 0.500 [2 per cell]
Y 0.000 0.500 0.256 [4 per cell]

# 11
Crystalline Li2MgZnAu4 at its relaxed geometry. Source: Alexandria, functional PBE.

Theoretical density   11.402 g/cm³

Cell: 4.5259 4.5259 21.9552 Å, 90.00 90.00 120.00°
Space group R-3m (No. 166, hexagonal axes)
Symmetry-distinct sites (fractional):
Li 0.0000 0.0000 0.2504 [6 per cell]
Mg 0.0000 0.0000 0.0000 [3 per cell]
Zn 0.0000 0.0000 0.5000 [3 per cell]
Au 0.0000 0.0000 0.1276 [6 per cell]
Au 0.0000 0.0000 0.3762 [6 per cell]

# 12
Crystalline NpIn2Sn at its relaxed geometry. Source: Alexandria, functional PBE.

Theoretical density   9.104 g/cm³

Cell: 7.530 7.530 7.530 Å, 90.00 90.00 90.00°
Space group Fm-3m (No. 225)
Symmetry-distinct sites (fractional):
Np 0.000 0.000 0.000 [4 per cell]
In 0.250 0.250 0.250 [8 per cell]
Sn 0.000 0.000 0.500 [4 per cell]

no.,E_form (eV per atom)
1,-0.0970
2,-0.1786
3,0.1093
4,0.8908
5,0.2202
6,0.9803
7,0.3549
8,0.0428
9,-0.0299
10,0.1186
11,-0.4980
12,0.2294